BaSc2Pb | PBE | optimized geometry

Values from the calculation:
The calculation puts the volume at 31.85 A^3/atom. As for the formation enthalpy at 0 K: 8 meV per atom. The value obtained for the raw total energy is -4.566 eV/atom. The density of states at the Fermi level is 1.513 states/eV/atom.

a b c (Å): 6.8107 6.8107 6.8107
angles (deg): 148.93 127.93 61.89
Fractional positions:
Ba (0.0000, 0.0000, 0.0000)
Sc (0.2870, 0.7870, 0.5000)
Sc (0.7130, 0.2130, 0.5000)
Pb (0.5000, 0.5000, 0.0000)